Version 1
ZnCu2B | Alexandria via LeMat-Bulk | GGA-PBE | optimized geometry; N(E_F) = 0.246 states/eV/atom
1.0
0.0000 2.7954 2.7954
2.7954 0.0000 2.7954
2.7954 2.7954 0.0000
Zn Cu B
1 2 1
direct
0.0000 0.0000 0.0000
0.2500 0.2500 0.2500
0.7500 0.7500 0.7500
0.5000 0.5000 0.5000

---

Version 2
ZnCu2B | Alexandria via LeMat-Bulk | GGA-PBE | optimized geometry; N(E_F) = 0.365 states/eV/atom
1.0
-3.3940 3.3940 2.1773
3.3940 -3.3940 2.1773
3.3940 3.3940 -2.1773
Zn Cu B
2 4 2
direct
0.0000 0.0000 0.0000
0.7500 0.2500 0.5000
0.2275 0.6250 0.1025
0.3750 0.4775 0.6025
0.5225 0.1250 0.8975
0.8750 0.7725 0.3975
0.2500 0.7500 0.5000
0.5000 0.5000 0.0000

---

The structure with the most favorable energy is version 2; the runner-up is 0.032 eV/atom above it.

---

Version 1
DyFeB | Alexandria via LeMat-Bulk | GGA-PBE | optimized geometry; N(E_F) = 0.836 states/eV/atom
1.0
3.5329 0.0000 0.0000
0.0000 3.5329 0.0000
0.0000 0.0000 7.6366
Dy Fe B
2 2 2
direct
0.2500 0.2500 0.1960
0.7500 0.7500 0.8040
0.2500 0.7500 0.5000
0.7500 0.2500 0.5000
0.2500 0.2500 0.6347
0.7500 0.7500 0.3653

---

Version 2
DyFeB | Alexandria via LeMat-Bulk | GGA-PBE | optimized geometry; N(E_F) = 0.775 states/eV/atom
1.0
1.7418 1.0057 9.2504
-1.7418 1.0057 9.2504
0.0000 -2.0113 9.2504
Dy Fe B
2 2 2
direct
0.1068 0.1068 0.1068
0.8932 0.8932 0.8932
0.3608 0.3608 0.3608
0.6392 0.6392 0.6392
0.2870 0.2870 0.2870
0.7130 0.7130 0.7130

---

Version 3
DyFeB | Alexandria via LeMat-Bulk | GGA-PBE | optimized geometry; N(E_F) = 0.740 states/eV/atom
1.0
3.5341 0.0000 0.0000
-1.7670 3.0606 0.0000
0.0000 0.0000 4.0205
Dy Fe B
1 1 1
direct
0.0000 0.0000 0.0000
0.6667 0.3333 0.5000
0.3333 0.6667 0.5000

---

The structure with the most favorable energy is version 1; the runner-up is 0.151 eV/atom above it.

---

Version 1
DyFeB2 | Alexandria via LeMat-Bulk | GGA-PBE | optimized geometry; N(E_F) = 0.522 states/eV/atom
1.0
6.5914 0.0000 0.0000
0.0000 3.1983 0.0000
0.0000 0.0000 9.0818
Dy Fe B
4 4 8
direct
0.1319 0.2500 0.1380
0.3681 0.7500 0.6380
0.6319 0.2500 0.3620
0.8681 0.7500 0.8620
0.0040 0.7500 0.4013
0.4960 0.2500 0.9013
0.5040 0.7500 0.0987
0.9960 0.2500 0.5987
0.1934 0.2500 0.8385
0.2247 0.2500 0.4193
0.2753 0.7500 0.9193
0.3066 0.7500 0.3385
0.6934 0.2500 0.6615
0.7247 0.2500 0.0807
0.7753 0.7500 0.5807
0.8066 0.7500 0.1615

---

Version 2
DyFeB2 | Alexandria via LeMat-Bulk | GGA-PBE | optimized geometry; N(E_F) = 0.285 states/eV/atom
1.0
5.7993 0.0000 0.0000
0.0000 5.1997 0.0000
0.0000 0.0000 6.1232
Dy Fe B
4 4 8
direct
0.0037 0.2500 0.1544
0.4963 0.7500 0.6544
0.5037 0.2500 0.3456
0.9963 0.7500 0.8456
0.1793 0.2500 0.6808
0.3207 0.7500 0.1808
0.6793 0.2500 0.8192
0.8207 0.7500 0.3192
0.1261 0.5831 0.4564
0.1261 0.9169 0.4564
0.3739 0.0831 0.9564
0.3739 0.4169 0.9564
0.6261 0.5831 0.0436
0.6261 0.9169 0.0436
0.8739 0.0831 0.5436
0.8739 0.4169 0.5436

---

The structure with the most favorable energy is version 2; the runner-up is 0.082 eV/atom above it.

---

Version 1
Dy4BI5 | Alexandria via LeMat-Bulk | GGA-PBE | optimized geometry; N(E_F) = 0.527 states/eV/atom
1.0
9.5271 -2.0277 0.0000
9.5271 2.0277 0.0000
-1.8851 0.0000 8.4489
Dy B I
4 1 5
direct
0.0008 0.0008 0.3052
0.3651 0.3651 0.4318
0.6349 0.6349 0.5682
0.9992 0.9992 0.6948
0.5000 0.5000 0.5000
0.1650 0.1650 0.8406
0.1711 0.1711 0.3256
0.5000 0.5000 0.0000
0.8289 0.8289 0.6744
0.8350 0.8350 0.1594

---

Version 2
Dy4BI5 | Alexandria via LeMat-Bulk | GGA-PBE | optimized geometry; N(E_F) = 0.539 states/eV/atom
1.0
10.7369 -2.0258 0.0000
10.7369 2.0258 0.0000
-0.0533 0.0000 8.5850
Dy B I
4 1 5
direct
0.0000 0.0000 0.1969
0.0000 0.0000 0.8031
0.3847 0.3847 0.9982
0.6153 0.6153 0.0018
0.5000 0.5000 0.0000
0.1481 0.1481 0.2584
0.1482 0.1482 0.7462
0.5000 0.5000 0.5000
0.8518 0.8518 0.2538
0.8519 0.8519 0.7416

---

The structure with the most favorable energy is version 1; the runner-up is 0.014 eV/atom above it.